LiCa2BiN | GGA-PBE | optimized geometry

Values from the calculation:
Its final energy is -21.55 eV/cell. Its space-group type is P4/mmm (123). The density of states at the Fermi level is 4.01 states/eV per cell. The value obtained for the density is 4.82 Mg/m³. As for the volume: 107 Å³ per cell.

Cell: 4.9275 4.9275 4.4033 Å, 90.00 90.00 90.00°
With the nearest neighbours (Å) after each atom.
Fractional coordinates of all 5 atoms:
N 0.0000 0.0000 0.0000  2 Li 2.20, 4 Ca 2.46
Ca 0.0000 0.5000 0.0000  2 N 2.46
Ca 0.5000 0.0000 0.0000  2 N 2.46
Li 0.0000 0.0000 0.5000  2 N 2.20
Bi 0.5000 0.5000 0.5000  8 Ca 3.30, 4 Li 3.48